First-principles (GGA-PBE) data for Ce2AuC after structural relaxation, as listed in the Alexandria database.

ΔE to the lowest computed polymorph in meV/atom: 105
ΔH_f (0 K) in kJ/mol of atoms: -24.0
Space-group type: Ima2

```
data_Ce2AuC
_chemical_formula_sum 'Ce4 Au2 C2'
_cell_length_a 5.0520
_cell_length_b 6.7480
_cell_length_c 6.7480
_cell_angle_alpha 64.03
_cell_angle_beta 68.02
_cell_angle_gamma 68.02
_symmetry_space_group_name_H-M 'P 1'
_symmetry_Int_Tables_number 1
loop_
_symmetry_equiv_pos_as_xyz
'x,y,z'
loop_
_atom_site_label
_atom_site_type_symbol
_atom_site_fract_x
_atom_site_fract_y
_atom_site_fract_z
_atom_site_occupancy
Ce1 Ce 0.4295 0.8812 0.2597 1
Ce2 Ce 0.5705 0.2403 0.6188 1
Ce3 Ce 0.8568 0.5773 0.7092 1
Ce4 Ce 0.1432 0.7908 0.9227 1
Au1 Au 0.8387 0.1728 0.1499 1
Au2 Au 0.1613 0.3501 0.3272 1
C1 C 0.3703 0.6237 0.6358 1
C2 C 0.6297 0.8642 0.8763 1
```

***

First-principles (GGA-PBE) data for GaAg2Pd2 after structural relaxation, as listed in the Alexandria database.

ΔE to the lowest computed polymorph in meV/atom: 261
ΔH_f (0 K) in kJ/mol of atoms: 4.9
Space-group type: P4/mbm

```
data_GaAg2Pd2
_chemical_formula_sum 'Ga2 Ag4 Pd4'
_cell_length_a 6.7548
_cell_length_b 6.7548
_cell_length_c 3.8669
_cell_angle_alpha 90.00
_cell_angle_beta 90.00
_cell_angle_gamma 90.00
_symmetry_space_group_name_H-M 'P 1'
_symmetry_Int_Tables_number 1
loop_
_symmetry_equiv_pos_as_xyz
'x,y,z'
loop_
_atom_site_label
_atom_site_type_symbol
_atom_site_fract_x
_atom_site_fract_y
_atom_site_fract_z
_atom_site_occupancy
Ga1 Ga 0.0000 0.0000 0.0000 1
Ga2 Ga 0.5000 0.5000 0.0000 1
Pd1 Pd 0.1569 0.6569 0.5000 1
Pd2 Pd 0.6569 0.8431 0.5000 1
Pd3 Pd 0.8431 0.3431 0.5000 1
Pd4 Pd 0.3431 0.1569 0.5000 1
Ag1 Ag 0.3570 0.8570 0.0000 1
Ag2 Ag 0.8570 0.6430 0.0000 1
Ag3 Ag 0.6430 0.1430 0.0000 1
Ag4 Ag 0.1430 0.3570 0.0000 1
```

***

First-principles (GGA-PBE) data for Tl2ReTe after structural relaxation, as listed in the Alexandria database.

ΔE to the lowest computed polymorph in meV/atom: 24
E_form (uncorrected) in meV per atom: 431
Space-group type: R3m

```
data_Tl2ReTe
_chemical_formula_sum 'Tl2 Re1 Te1'
_cell_length_a 10.8584
_cell_length_b 10.8584
_cell_length_c 10.8584
_cell_angle_alpha 17.91
_cell_angle_beta 17.91
_cell_angle_gamma 17.91
_symmetry_space_group_name_H-M 'P 1'
_symmetry_Int_Tables_number 1
loop_
_symmetry_equiv_pos_as_xyz
'x,y,z'
loop_
_atom_site_label
_atom_site_type_symbol
_atom_site_fract_x
_atom_site_fract_y
_atom_site_fract_z
_atom_site_occupancy
Re1 Re 0.4978 0.4978 0.4978 1
Te1 Te 0.7760 0.7760 0.7760 1
Tl1 Tl 0.9906 0.9906 0.9906 1
Tl2 Tl 0.2357 0.2357 0.2357 1
```

***

First-principles (GGA-PBE) data for SiPRu after structural relaxation, as listed in the Alexandria database.

E_form (uncorrected) in meV per atom: -267
Space-group type: Cm

```
data_SiPRu
_chemical_formula_sum 'Si2 P2 Ru2'
_cell_length_a 5.0257
_cell_length_b 3.0516
_cell_length_c 6.3796
_cell_angle_alpha 90.00
_cell_angle_beta 91.00
_cell_angle_gamma 90.00
_symmetry_space_group_name_H-M 'P 1'
_symmetry_Int_Tables_number 1
loop_
_symmetry_equiv_pos_as_xyz
'x,y,z'
loop_
_atom_site_label
_atom_site_type_symbol
_atom_site_fract_x
_atom_site_fract_y
_atom_site_fract_z
_atom_site_occupancy
Ru1 Ru 0.0218 0.0000 0.4691 1
Ru2 Ru 0.0218 0.5000 0.9691 1
Si1 Si 0.7338 0.0000 0.1527 1
Si2 Si 0.7338 0.5000 0.6527 1
P1 P 0.2797 0.0000 0.1596 1
P2 P 0.2797 0.5000 0.6596 1
```

***

| no. | final energy (eV per formula unit) |
| --- | --- |
| 1 | -25.37 |
| 2 | -18.86 |
| 3 | -18.60 |
| 4 | -20.91 |